# La5Tb3Er

La5Tb3Er after structural relaxation (PBE, Alexandria).

The space group is C2/c (No. 15) and the conventional cell measures 15.821, 8.862 and 11.295 Å, with angles of 90.00, 126.71 and 90.00 degrees. The inequivalent atoms are La at (0.000, 0.038, 0.250), La at (0.071, 0.323, 0.109), La at (0.168, 0.052, 0.650), Tb at (0.186, 0.382, 0.509), Tb at (0.250, 0.250, 0.000) and Er at (0.000, 0.368, 0.750).

As for the energy of formation from the pure elements: 1.34 eV/f.u. As for the magnetization: 0.00 μB/atom. The calculation puts the raw total energy at -4.64 eV per atom. The calculation puts the volume at 1269.6 Å³ per cell.